Record 1
The following is a DFT calculation (PBE) of crystalline LaHo2InN at its relaxed geometry.

Unit cell a=4.8490 b=4.8490 c=5.0680 alpha=90.00 beta=90.00 gamma=90.00
With the nearest neighbours (Å) after each atom.
Positions (direct):
La 0.0000 0.0000 0.0000  2 N 2.53
Ho 0.0000 0.5000 0.5000  2 N 2.42
Ho 0.5000 0.0000 0.5000  2 N 2.42
In 0.5000 0.5000 0.0000  4 La 3.43, 8 Ho 3.51
N 0.0000 0.0000 0.5000  4 Ho 2.42, 2 La 2.53

SG ... P4/mmm (123)
N(E_F) ... 2.5 states/eV per cell
Energy relative to the elements, uncorrected ... -0.92 eV per atom
Theoretical density ... 8.33 g/cm3

***

Record 2
The following is a DFT calculation (PBE) of crystalline Tb12Sb3N5 at its relaxed geometry.

Unit cell a=13.5675 b=13.5675 c=13.5675 alpha=109.47 beta=109.47 gamma=109.47
With the nearest neighbours (Å) after each atom.
Positions (direct):
Tb 0.0104 0.1967 0.1087  1 N 2.24
Tb 0.0104 0.3137 0.9017  1 N 2.24
Tb 0.0880 0.6967 0.6863  1 N 2.24
Tb 0.0880 0.8913 0.4017  1 N 2.24
Tb 0.0983 0.6087 0.4120  1 N 2.24
Tb 0.0983 0.9896 0.6863  1 N 2.24
Tb 0.1087 0.0104 0.1967  1 N 2.24
Tb 0.1087 0.5983 0.9120  1 N 2.24
Tb 0.1863 0.1967 0.5880  1 N 2.24
Tb 0.1863 0.4896 0.5983  1 N 2.24
Tb 0.1967 0.1087 0.0104  1 N 2.24
Tb 0.1967 0.5880 0.1863  1 N 2.24
Tb 0.3033 0.3137 0.9120  1 N 2.24
Tb 0.3033 0.4896 0.3913  1 N 2.24
Tb 0.3137 0.9017 0.0104  1 N 2.24
Tb 0.3137 0.9120 0.3033  1 N 2.24
Tb 0.3913 0.3033 0.4896  1 N 2.24
Tb 0.3913 0.5880 0.9017  1 N 2.24
Tb 0.4017 0.0880 0.8913  1 N 2.24
Tb 0.4017 0.8137 0.5104  1 N 2.24
Tb 0.4120 0.0983 0.6087  1 N 2.24
Tb 0.4120 0.8137 0.8033  1 N 2.24
Tb 0.4896 0.3913 0.3033  1 N 2.24
Tb 0.4896 0.5983 0.1863  1 N 2.24
Tb 0.5104 0.4017 0.8137  1 N 2.24
Tb 0.5104 0.6087 0.6967  1 N 2.24
Tb 0.5880 0.1863 0.1967  1 N 2.24
Tb 0.5880 0.9017 0.3913  1 N 2.24
Tb 0.5983 0.1863 0.4896  1 N 2.24
Tb 0.5983 0.9120 0.1087  1 N 2.24
Tb 0.6087 0.4120 0.0983  1 N 2.24
Tb 0.6087 0.6967 0.5104  1 N 2.24
Tb 0.6863 0.0880 0.6967  1 N 2.24
Tb 0.6863 0.0983 0.9896  1 N 2.24
Tb 0.6967 0.5104 0.6087  1 N 2.24
Tb 0.6967 0.6863 0.0880  1 N 2.24
Tb 0.8033 0.4120 0.8137  1 N 2.24
Tb 0.8033 0.8913 0.9896  1 N 2.24
Tb 0.8137 0.5104 0.4017  1 N 2.24
Tb 0.8137 0.8033 0.4120  1 N 2.24
Tb 0.8913 0.4017 0.0880  1 N 2.24
Tb 0.8913 0.9896 0.8033  1 N 2.24
Tb 0.9017 0.0104 0.3137  1 N 2.24
Tb 0.9017 0.3913 0.5880  1 N 2.24
Tb 0.9120 0.1087 0.5983  1 N 2.24
Tb 0.9120 0.3033 0.3137  1 N 2.24
Tb 0.9896 0.6863 0.0983  1 N 2.24
Tb 0.9896 0.8033 0.8913  1 N 2.24
Sb 0.1250 0.2500 0.3750  8 Tb 3.12-3.22
Sb 0.1250 0.3750 0.7500  8 Tb 3.12-3.22
Sb 0.2500 0.3750 0.1250  8 Tb 3.12-3.22
Sb 0.2500 0.8750 0.6250  8 Tb 3.12-3.22
Sb 0.3750 0.1250 0.2500  8 Tb 3.12-3.22
Sb 0.3750 0.7500 0.1250  8 Tb 3.12-3.22
Sb 0.6250 0.2500 0.8750  8 Tb 3.12-3.22
Sb 0.6250 0.8750 0.7500  8 Tb 3.12-3.22
Sb 0.7500 0.1250 0.3750  8 Tb 3.12-3.22
Sb 0.7500 0.6250 0.8750  8 Tb 3.12-3.22
Sb 0.8750 0.6250 0.2500  8 Tb 3.12-3.22
Sb 0.8750 0.7500 0.6250  8 Tb 3.12-3.22
N 0.0000 0.0000 0.0000  6 Tb 2.51
N 0.0000 0.0000 0.5000  6 Tb 2.51
N 0.0000 0.5000 0.0000  6 Tb 2.51
N 0.0000 0.5000 0.5000  6 Tb 2.51
N 0.1250 0.7500 0.8750  4 Tb 2.24
N 0.1250 0.8750 0.2500  4 Tb 2.24
N 0.2500 0.1250 0.8750  4 Tb 2.24
N 0.2500 0.6250 0.3750  4 Tb 2.24
N 0.3750 0.2500 0.6250  4 Tb 2.24
N 0.3750 0.6250 0.7500  4 Tb 2.24
N 0.5000 0.0000 0.0000  6 Tb 2.51
N 0.5000 0.0000 0.5000  6 Tb 2.51
N 0.5000 0.5000 0.0000  6 Tb 2.51
N 0.5000 0.5000 0.5000  6 Tb 2.51
N 0.6250 0.3750 0.2500  4 Tb 2.24
N 0.6250 0.7500 0.3750  4 Tb 2.24
N 0.7500 0.3750 0.6250  4 Tb 2.24
N 0.7500 0.8750 0.1250  4 Tb 2.24
N 0.8750 0.1250 0.7500  4 Tb 2.24
N 0.8750 0.2500 0.1250  4 Tb 2.24

SG ... Ia-3d (230)
N(E_F) ... 61.0 states/eV per cell
Energy relative to the elements, uncorrected ... -1.02 eV per atom
Theoretical density ... 8.09 g/cm3

***

Record 3
The following is a DFT calculation (PBE) of crystalline YRe at its relaxed geometry.

Unit cell a=4.3194 b=11.4333 c=5.5795 alpha=90.00 beta=90.00 gamma=90.00
With the nearest neighbours (Å) after each atom.
Positions (direct):
Y 0.2500 0.0951 0.0746  5 Re 2.96-3.19, 3 Y 3.18-3.19
Y 0.2500 0.2500 0.5998  6 Re 2.90-3.15, 2 Y 3.19
Y 0.2500 0.4049 0.0746  5 Re 2.96-3.19, 3 Y 3.18-3.19
Y 0.7500 0.5951 0.9254  5 Re 2.96-3.19, 3 Y 3.18-3.19
Y 0.7500 0.7500 0.4002  6 Re 2.90-3.15, 2 Y 3.19
Y 0.7500 0.9049 0.9254  5 Re 2.96-3.19, 3 Y 3.18-3.19
Re 0.2500 0.5572 0.5123  3 Re 2.53-2.56
Re 0.2500 0.7500 0.7474  2 Re 2.56
Re 0.2500 0.9428 0.5123  3 Re 2.53-2.56
Re 0.7500 0.0572 0.4877  3 Re 2.53-2.56
Re 0.7500 0.2500 0.2526  2 Re 2.56
Re 0.7500 0.4428 0.4877  3 Re 2.53-2.56

SG ... Pmmn (59)
N(E_F) ... 11.3 states/eV per cell
Theoretical density ... 9.95 g/cm3
DFT formation energy ... 0.5 eV/f.u.

***

Record 4
The following is a DFT calculation (PBE) of crystalline LuPaTi2 at its relaxed geometry.

Unit cell a=3.5981 b=3.5981 c=6.8385 alpha=90.00 beta=90.00 gamma=90.00
With the nearest neighbours (Å) after each atom.
Positions (direct):
Lu 0.0000 0.0000 0.0000  8 Ti 3.25, 2 Pa 3.42, 4 Lu 3.60
Pa 0.0000 0.0000 0.5000  8 Ti 2.90
Ti 0.5000 0.5000 0.2967  1 Ti 2.78, 4 Pa 2.90
Ti 0.5000 0.5000 0.7033  1 Ti 2.78, 4 Pa 2.90

SG ... P4/mmm (123)
N(E_F) ... 5.9 states/eV per cell
Theoretical density ... 9.41 g/cm3
DFT formation energy ... 0.3 eV/f.u.

***

Record 5
The following is a DFT calculation (PBE) of crystalline Ce3PIr2 at its relaxed geometry.

Unit cell a=7.0062 b=7.0062 c=7.1108 alpha=99.43 beta=99.43 gamma=119.96
With the nearest neighbours (Å) after each atom.
Positions (direct):
Ce 0.0842 0.4134 0.7533  4 Ir 2.84-2.87, 2 P 2.90-2.91
Ce 0.2439 0.2439 0.2446  4 Ir 2.87-2.89, 2 P 2.90
Ce 0.4134 0.0842 0.7533  4 Ir 2.84-2.87, 2 P 2.90-2.91
Ce 0.5866 0.9158 0.2467  4 Ir 2.84-2.87, 2 P 2.90-2.91
Ce 0.7561 0.7561 0.7554  4 Ir 2.87-2.89, 2 P 2.90
Ce 0.9158 0.5866 0.2467  4 Ir 2.84-2.87, 2 P 2.90-2.91
P 0.3341 0.6659 0.5000  6 Ce 2.90-2.91
P 0.6659 0.3341 0.5000  6 Ce 2.90-2.91
Ir 0.0000 0.0000 0.5000  6 Ce 2.87
Ir 0.1722 0.8278 0.0000  6 Ce 2.84-2.89
Ir 0.5000 0.5000 0.0000  6 Ce 2.85-2.88
Ir 0.8278 0.1722 0.0000  6 Ce 2.84-2.89

SG ... C2/m (12)
N(E_F) ... 22.7 states/eV per cell
Theoretical density ... 9.71 g/cm3
DFT formation energy ... -5.3 eV/f.u.

***

Record 6
The following is a DFT calculation (PBE) of crystalline CaTe2PbI at its relaxed geometry.

Unit cell a=5.8853 b=5.8853 c=5.8689 alpha=90.00 beta=90.00 gamma=90.00
With the nearest neighbours (Å) after each atom.
Positions (direct):
Ca 0.0000 0.0000 0.0000  2 I 2.93, 4 Te 2.94
Te 0.0000 0.5000 0.0000  2 Ca 2.94
Te 0.5000 0.0000 0.0000  2 Ca 2.94
Pb 0.5000 0.5000 0.5000  8 Te 4.16, 4 I 4.16
I 0.0000 0.0000 0.5000  2 Ca 2.93

SG ... P4/mmm (123)
N(E_F) ... 5.3 states/eV per cell
Energy relative to the elements, uncorrected ... -0.32 eV per atom
Theoretical density ... 5.14 g/cm3
Energy above the lowest structure with this stoichiometry ... 0 meV per atom